Record 1
## TiPd2BrN (PBE-GGA)

Data for a relaxed structure of TiPd2BrN.

CIF file:
```
data_TiPd2BrN
_cell_length_a 4.630
_cell_length_b 4.630
_cell_length_c 4.759
_cell_angle_alpha 90.00
_cell_angle_beta 90.00
_cell_angle_gamma 90.00
_space_group_name_H-M_alt 'P 4/m m m'
_space_group_IT_number 123
_space_group_name_Hall '-P 4 2'
loop_
_atom_site_label
_atom_site_type_symbol
_atom_site_fract_x
_atom_site_fract_y
_atom_site_fract_z
Ti1 Ti 0.000 0.000 0.000
Pd1 Pd 0.000 0.500 0.500
Br1 Br 0.000 0.000 0.500
N1 N 0.500 0.500 0.000
```

## Properties
**E_tot**: -20.5 eV per formula unit
**Uncorrected formation energy**: 1.552 eV/atom
**Crystal system**: tetragonal

Record 2
## LaCd2Sb (PBE-GGA)

Data for a relaxed structure of LaCd2Sb.

CIF file:
```
data_LaCd2Sb
_cell_length_a 8.489
_cell_length_b 4.924
_cell_length_c 6.160
_cell_angle_alpha 90.00
_cell_angle_beta 117.91
_cell_angle_gamma 90.00
_space_group_name_H-M_alt 'C 1 m 1'
_space_group_IT_number 8
loop_
_space_group_symop_operation_xyz
'x,y,z'
'x,-y,z'
'x+1/2,y+1/2,z'
'x+1/2,-y+1/2,z'
loop_
_atom_site_label
_atom_site_type_symbol
_atom_site_fract_x
_atom_site_fract_y
_atom_site_fract_z
La1 La 0.000 0.000 0.000
Cd1 Cd 0.028 0.500 0.586
Cd2 Cd 0.234 0.000 0.705
Sb1 Sb 0.280 0.500 0.336
```

## Properties
**E_tot**: -12.6 eV per formula unit
**Uncorrected formation energy**: -0.441 eV/atom
**Crystal system**: monoclinic

Record 3
## CeHoEr3Sc (PBE-GGA)

Data for a relaxed structure of CeHoEr3Sc.

CIF file:
```
data_CeHoEr3Sc
_cell_length_a 4.914
_cell_length_b 14.706
_cell_length_c 9.828
_cell_angle_alpha 90.00
_cell_angle_beta 90.00
_cell_angle_gamma 90.00
_space_group_name_H-M_alt 'C m c m'
_space_group_IT_number 63
_space_group_name_Hall '-C 2c 2'
loop_
_atom_site_label
_atom_site_type_symbol
_atom_site_fract_x
_atom_site_fract_y
_atom_site_fract_z
Ce1 Ce 0.000 0.002 0.250
Ho1 Ho 0.000 0.500 0.000
Er1 Er 0.000 0.166 0.001
Er2 Er 0.000 0.331 0.250
Sc1 Sc 0.000 0.333 0.750
```

## Properties
**E_tot**: -30.1 eV per formula unit
**DFT formation energy**: 0.0682 eV/atom
**Crystal system**: orthorhombic

Record 4
## Pm12Ho7Tm (PBE-GGA)

Data for a relaxed structure of Pm12Ho7Tm.

CIF file:
```
data_Pm12Ho7Tm
_cell_length_a 19.5886
_cell_length_b 19.5886
_cell_length_c 6.1846
_cell_angle_alpha 90.00
_cell_angle_beta 90.00
_cell_angle_gamma 120.00
_space_group_name_H-M_alt 'R -3'
_space_group_IT_number 148
_space_group_name_Hall '-R 3'
loop_
_atom_site_label
_atom_site_type_symbol
_atom_site_fract_x
_atom_site_fract_y
_atom_site_fract_z
Pm1 Pm 0.0003 0.4131 0.9999
Pm2 Pm 0.0978 0.5492 0.4629
Ho1 Ho 0.0000 0.0000 0.0000
Ho2 Ho 0.0809 0.9184 0.2936
Tm1 Tm 0.0000 0.0000 0.5000
```

## Properties
**E_tot**: -88.8 eV per formula unit
**DFT formation energy**: 0.2380 eV/atom
**Energy relative to the lowest polymorph listed for this composition**: 0.00 kJ/mol of atoms
**Crystal system**: trigonal

Number 1: size of the total moment 0.00 μB/f.u.. Number 2: size of the total moment 0.00 μB/f.u.. Number 3: size of the total moment 1.07 μB/f.u.. Number 4: size of the total moment 0.00 μB/f.u..